DFT (meta-GGA SCAN) results for a crystal of TaCrRe3 relaxed with PBEsol.

POSCAR file:
```
TaCrRe3
1.0
4.3675 0.0000 0.0000
0.0000 4.3675 0.0000
0.0000 0.0000 4.3675
Re Cr Ta
3 1 1
direct
0.0000 0.5000 0.0000
0.0000 0.0000 0.5000
0.5000 0.0000 0.0000
0.0000 0.0000 0.0000
0.5000 0.5000 0.5000
```

- ΔE_f (eV per atom) = 1.30
- crystal system = cubic
- V (A^3/atom) = 16.662

---

DFT (meta-GGA SCAN) results for a crystal of TaCr2Re relaxed with PBEsol.

POSCAR file:
```
TaCr2Re
1.0
2.6562 -0.0023 0.0000
-0.9302 2.4880 0.0000
0.0000 0.0000 8.3129
Cr Re Ta
2 1 1
direct
0.0000 0.0000 0.9797
0.5000 0.5000 0.7630
0.0000 0.0000 0.5177
0.5000 0.5000 0.2395
```

- ΔE_f (eV per atom) = 0.03
- offset from the most stable computed form (eV per atom) = 0.179
- crystal system = orthorhombic
- V (A^3/atom) = 13.730

---

DFT (meta-GGA SCAN) results for a crystal of CrRe2Tc relaxed with PBEsol.

POSCAR file:
```
CrRe2Tc
1.0
-3.3226 -0.0646 -2.6771
-0.7499 -3.4570 -2.3870
-3.3681 -2.4825 0.8389
Cr Re Tc
1 2 1
direct
0.0000 0.0000 0.0000
0.2500 0.2500 0.2500
0.7500 0.7500 0.7500
0.5000 0.5000 0.5000
```

- ΔE_f (eV per atom) = 0.12
- offset from the most stable computed form (eV per atom) = 0.053
- crystal system = cubic
- V (A^3/atom) = 13.738

---

no.,DFT total energy (hartree per atom),M_tot (μB/f.u.)
1,-2.144,0.0
2,-1.602,0.0
3,-1.793,0.0